First-principles (PBE-GGA) data for a relaxed LaMnPt2I crystal, as listed in Alexandria.

abc: 5.327 5.327 6.153
angles: 90.00 90.00 90.00
Space group P4/mmm (No. 123)
Symmetry-distinct sites (fractional):
1 La 0.000 0.000 0.000 x1
2 Mn 0.500 0.500 0.500 x1
3 Pt 0.000 0.500 0.000 x2
4 I 0.000 0.000 0.500 x1

Results
Crystal system = tetragonal
Formation energy (no corrections) = 0.631 eV per atom
Calculated volume = 174.6 Å³/cell


First-principles (PBE-GGA) data for a relaxed LaMnRhI2 crystal, as listed in Alexandria.

abc: 5.190 5.190 5.021
angles: 90.00 90.00 90.00
Space group P4/mmm (No. 123)
Symmetry-distinct sites (fractional):
1 La 0.000 0.000 0.000 x1
2 Mn 0.000 0.000 0.500 x1
3 Rh 0.500 0.500 0.000 x1
4 I 0.000 0.500 0.500 x2

Results
Crystal system = tetragonal
Formation energy (no corrections) = 0.458 eV per atom
Calculated volume = 135.3 Å³/cell


First-principles (PBE-GGA) data for a relaxed LaMn2SI crystal, as listed in Alexandria.

abc: 6.347 6.347 5.242
angles: 90.00 90.00 90.00
Space group P4/mmm (No. 123)
Symmetry-distinct sites (fractional):
1 La 0.000 0.000 0.000 x1
2 Mn 0.000 0.500 0.000 x2
3 S 0.000 0.000 0.500 x1
4 I 0.500 0.500 0.500 x1

Results
Crystal system = tetragonal
Formation energy (no corrections) = 0.646 eV per atom
Calculated volume = 211.1 Å³/cell


First-principles (PBE-GGA) data for a relaxed LaMnSe2I crystal, as listed in Alexandria.

abc: 7.856 4.093 9.029
angles: 90.00 101.26 90.00
Space group P2_1/m (No. 11)
Symmetry-distinct sites (fractional):
1 La 0.171 0.250 0.226 x2
2 Mn 0.339 0.750 0.863 x2
3 Se 0.113 0.250 0.872 x2
4 Se 0.432 0.750 0.156 x2
5 I 0.241 0.750 0.517 x2

Results
Crystal system = monoclinic
Formation energy (no corrections) = -1.215 eV per atom
Calculated volume = 284.7 Å³/cell


First-principles (PBE-GGA) data for a relaxed LaMnTl2I crystal, as listed in Alexandria.

abc: 5.211 5.211 5.537
angles: 90.00 90.00 90.00
Space group P4/mmm (No. 123)
Symmetry-distinct sites (fractional):
1 La 0.000 0.000 0.000 x1
2 Mn 0.500 0.500 0.500 x1
3 Tl 0.000 0.500 0.500 x2
4 I 0.500 0.500 0.000 x1

Results
Crystal system = tetragonal
Formation energy (no corrections) = 0.104 eV per atom
Calculated volume = 150.4 Å³/cell


First-principles (PBE-GGA) data for a relaxed LaMoI2 crystal, as listed in Alexandria.

abc: 7.592 7.592 7.592
angles: 90.00 90.00 90.00
Space group Fm-3m (No. 225)
Symmetry-distinct sites (fractional):
1 La 0.000 0.000 0.000 x4
2 Mo 0.000 0.000 0.500 x4
3 I 0.250 0.250 0.250 x8

Results
Crystal system = cubic
Formation energy (no corrections) = 0.153 eV per atom
Excess energy over the best structure of this formula in the dataset = 0.0 meV/atom
Calculated volume = 437.6 Å³/cell


First-principles (PBE-GGA) data for a relaxed La2MoI crystal, as listed in Alexandria.

abc: 7.505 7.505 10.267
angles: 90.00 90.00 90.00
Space group I-42d (No. 122)
Symmetry-distinct sites (fractional):
1 La 0.147 0.750 0.125 x8
2 Mo 0.000 0.000 0.000 x4
3 I 0.000 0.000 0.500 x4

Results
Crystal system = tetragonal
Formation energy (no corrections) = 0.077 eV per atom
Excess energy over the best structure of this formula in the dataset = 0.0 meV/atom
Calculated volume = 578.3 Å³/cell


First-principles (PBE-GGA) data for a relaxed LaMo2I crystal, as listed in Alexandria.

abc: 6.888 6.888 6.888
angles: 90.00 90.00 90.00
Space group Fm-3m (No. 225)
Symmetry-distinct sites (fractional):
1 La 0.000 0.000 0.000 x4
2 Mo 0.250 0.250 0.250 x8
3 I 0.000 0.000 0.500 x4

Results
Crystal system = cubic
Formation energy (no corrections) = 0.942 eV per atom
Excess energy over the best structure of this formula in the dataset = 131.8 meV/atom
Calculated volume = 326.8 Å³/cell


First-principles (PBE-GGA) data for a relaxed LaMoI3 crystal, as listed in Alexandria.

abc: 6.271 6.271 6.271
angles: 90.00 90.00 90.00
Space group Pm-3m (No. 221)
Symmetry-distinct sites (fractional):
1 La 0.000 0.000 0.000 x1
2 Mo 0.500 0.500 0.500 x1
3 I 0.000 0.000 0.500 x3

Results
Crystal system = cubic
Formation energy (no corrections) = 0.056 eV per atom
Excess energy over the best structure of this formula in the dataset = 0.0 meV/atom
Calculated volume = 246.7 Å³/cell


First-principles (PBE-GGA) data for a relaxed LaMoI2 crystal, as listed in Alexandria.

abc: 5.253 5.253 19.241
angles: 90.00 90.00 90.00
Space group I-42d (No. 122)
Symmetry-distinct sites (fractional):
1 La 0.000 0.000 0.000 x4
2 Mo 0.000 0.000 0.500 x4
3 I 0.218 0.250 0.625 x8

Results
Crystal system = tetragonal
Formation energy (no corrections) = 0.240 eV per atom
Excess energy over the best structure of this formula in the dataset = 87.1 meV/atom
Calculated volume = 531.0 Å³/cell


First-principles (PBE-GGA) data for a relaxed LaMoI3 crystal, as listed in Alexandria.

abc: 5.497 5.497 5.497
angles: 90.00 90.00 90.00
Space group Pm-3m (No. 221)
Symmetry-distinct sites (fractional):
1 La 0.000 0.000 0.000 x1
2 Mo 0.500 0.500 0.500 x1
3 I 0.000 0.500 0.500 x3

Results
Crystal system = cubic
Formation energy (no corrections) = 0.109 eV per atom
Excess energy over the best structure of this formula in the dataset = 52.7 meV/atom
Calculated volume = 166.1 Å³/cell


First-principles (PBE-GGA) data for a relaxed LaMo3I crystal, as listed in Alexandria.

abc: 4.975 4.975 4.975
angles: 90.00 90.00 90.00
Space group Pm-3m (No. 221)
Symmetry-distinct sites (fractional):
1 La 0.000 0.000 0.000 x1
2 Mo 0.000 0.500 0.500 x3
3 I 0.500 0.500 0.500 x1

Results
Crystal system = cubic
Formation energy (no corrections) = 1.501 eV per atom
Excess energy over the best structure of this formula in the dataset = 0.0 meV/atom
Calculated volume = 123.2 Å³/cell


Which of these has the lowest calculated volume?
LaMo3I


Copy entry 5 word for word.
First-principles (PBE-GGA) data for a relaxed LaMnTl2I crystal, as listed in Alexandria.

abc: 5.211 5.211 5.537
angles: 90.00 90.00 90.00
Space group P4/mmm (No. 123)
Symmetry-distinct sites (fractional):
1 La 0.000 0.000 0.000 x1
2 Mn 0.500 0.500 0.500 x1
3 Tl 0.000 0.500 0.500 x2
4 I 0.500 0.500 0.000 x1

Results
Crystal system = tetragonal
Formation energy (no corrections) = 0.104 eV per atom
Calculated volume = 150.4 Å³/cell


The lowest formation energy (no corrections) belongs to which entry?
LaMnSe2I